[1]
# Tb6YTm3 (PBE, relaxed)
# * energy of formation from the pure elements: 0.1262 eV per atom
# * excess energy over the best structure of this formula in the dataset: 0 meV per atom
data_Tb6YTm3
_chemical_formula_sum 'Tb24 Y4 Tm12'
_cell_length_a 9.6079
_cell_length_b 20.9097
_cell_length_c 6.3454
_cell_angle_alpha 90.00
_cell_angle_beta 90.00
_cell_angle_gamma 90.00
_space_group_name_H-M_alt 'C m c 21'
_space_group_IT_number 36
_space_group_name_Hall 'C 2c -2'
loop_
_atom_site_label
_atom_site_type_symbol
_atom_site_fract_x
_atom_site_fract_y
_atom_site_fract_z
_atom_site_occupancy
Tb1 Tb 0.0000 0.0150 0.0000 1
Tb2 Tb 0.0000 0.3015 0.9749 1
Tb3 Tb 0.1758 0.2807 0.5130 1
Tb4 Tb 0.1806 0.4404 0.7572 1
Y1 Y 0.0000 0.1602 0.1996 1
Tm1 Tm 0.0000 0.4191 0.2804 1
Tm2 Tm 0.1691 0.1259 0.6757 1

=====

[2]
# Tb6YTm2 (PBE, relaxed)
# * energy of formation from the pure elements: 0.1200 eV per atom
# * excess energy over the best structure of this formula in the dataset: 0 meV per atom
data_Tb6YTm2
_chemical_formula_sum 'Tb12 Y2 Tm4'
_cell_length_a 9.1063
_cell_length_b 17.6135
_cell_length_c 3.6046
_cell_angle_alpha 90.00
_cell_angle_beta 99.27
_cell_angle_gamma 90.00
_space_group_name_H-M_alt 'C 1 2/m 1'
_space_group_IT_number 12
_space_group_name_Hall '-C 2y'
loop_
_atom_site_label
_atom_site_type_symbol
_atom_site_fract_x
_atom_site_fract_y
_atom_site_fract_z
_atom_site_occupancy
Tb1 Tb 0.1662 0.0000 0.3260 1
Tb2 Tb 0.1683 0.1679 0.8256 1
Y1 Y 0.0000 0.5000 0.0000 1
Tm1 Tm 0.0000 0.3335 0.5000 1

=====

[3]
# Tb3YTm6 (PBE, relaxed)
# * energy of formation from the pure elements: 0.0254 eV per atom
# * excess energy over the best structure of this formula in the dataset: 0 meV per atom
data_Tb3YTm6
_chemical_formula_sum 'Tb3 Y1 Tm6'
_cell_length_a 6.0898
_cell_length_b 6.0925
_cell_length_c 9.3067
_cell_angle_alpha 102.59
_cell_angle_beta 109.07
_cell_angle_gamma 99.53
_space_group_name_H-M_alt 'P -1'
_space_group_IT_number 2
_space_group_name_Hall '-P 1'
loop_
_atom_site_label
_atom_site_type_symbol
_atom_site_fract_x
_atom_site_fract_y
_atom_site_fract_z
_atom_site_occupancy
Tb1 Tb 0.0000 0.0000 0.0000 1
Tb2 Tb 0.3992 0.4998 0.2990 1
Y1 Y 0.0000 0.5000 0.5000 1
Tm1 Tm 0.2009 0.9999 0.3996 1
Tm2 Tm 0.2012 0.5006 0.9010 1
Tm3 Tm 0.3990 0.0008 0.8001 1

=====

Q: What is the formula in the first record?
A: Tb6YTm3

=====

Q: What is the formula in the third record?
A: Tb3YTm6

=====

Q: Among the records above, which one has the highest energy of formation from the pure elements?
A: Tb6YTm3